No. 1
DFT (PBE) results for a relaxed structure of YBe2Se.

Cell lengths 4.329, 3.947, 4.247 Å; angles 90.00, 90.00, 90.00 degrees
Positions (direct):
Se 0.500 0.250 0.250
Be 0.000 0.250 0.992
Y 0.500 0.750 0.750
Be 0.000 0.250 0.508

Properties
As for the calculated total energy: -18.103 eV per formula unit. The volume comes out at 18.142 Å³/atom. As for the space group: Pmmm (47).

No. 2
DFT (PBE) results for a relaxed structure of BiH2ClO.

Cell lengths 4.140, 5.355, 4.140 Å; angles 90.00, 90.00, 90.00 degrees
Each line ends with the local moment (μB).
Positions (direct):
H 0.500 0.000 0.000  0.01
H 0.000 0.000 0.500  0.05
Bi 0.000 0.000 0.000  0.02
O 0.500 0.500 0.500  1.30
Cl 0.000 0.500 0.000  0.16

Properties
As for the calculated total energy: -14.689 eV per formula unit. The volume comes out at 18.355 Å³/atom. As for the space group: P4/mmm (123).

No. 3
DFT (PBE) results for a relaxed structure of Cr2CoHg.

Cell lengths 2.683, 2.683, 7.603 Å; angles 90.00, 90.00, 90.00 degrees
Each line ends with the local moment (μB).
Positions (direct):
Co 0.500 0.500 0.750  0.77
Cr 0.000 0.000 0.540  0.24
Hg 0.500 0.500 0.250  -0.01
Cr 0.000 0.000 0.960  0.24

Properties
The formation enthalpy at 0 K comes out at 2.10 eV per formula unit. As for the calculated total energy: -24.559 eV per formula unit. The volume comes out at 13.681 Å³/atom. As for the space group: P4/mmm (123).

No. 4
DFT (PBE) results for a relaxed structure of Y8Ni2Pb.

Cell lengths 5.364, 8.002, 8.002 Å; angles 113.86, 97.39, 97.39 degrees
Each line ends with the local moment (μB).
Positions (direct):
Y 0.000 0.754 0.252  0.03
Y 0.421 0.669 0.927  0.07
Ni 0.500 0.698 0.307  0.01
Y 0.579 0.337 0.079  0.07
Pb 0.000 0.003 0.003  0.00
Y 0.579 0.079 0.337  0.07
Y 0.000 0.252 0.754  0.03
Y 0.199 0.397 0.397  0.07
Y 0.801 0.609 0.609  0.07
Ni 0.500 0.307 0.698  0.01
Y 0.421 0.927 0.669  0.07

Properties
The formation enthalpy at 0 K comes out at -2.08 eV per formula unit. As for the calculated total energy: -69.067 eV per formula unit. The volume comes out at 27.757 Å³/atom. As for the space group: C2/m (12).